First-principles (PBE) data for Sc3RhC4 after structural relaxation, as listed in Alexandria via LeMat-Bulk.

abc: 8.1882 8.1882 3.9763
angles: 102.24 102.24 23.59
Last column: nearest neighbours and their distance in Å.
Element x y z (fractional)
Sc1 0.0000 0.0000 0.0000  4 C 2.50, 4 Rh 2.60
Sc2 0.1798 0.1798 0.7034  3 C 2.20-2.43
Sc3 0.8202 0.8202 0.2966  3 C 2.20-2.43
Rh1 0.5000 0.5000 0.5000  2 C 1.99
C1 0.3201 0.3201 0.7893  1 C 1.34
C2 0.3950 0.3950 0.6912  1 C 1.34
C3 0.6050 0.6050 0.3088  1 C 1.34
C4 0.6799 0.6799 0.2107  1 C 1.34

energy of formation from the pure elements	-285.8	meV per atom
theoretical density	4.6	g cm⁻³
space group	C2/m
calculated total energy	-8.191	eV/atom

---

First-principles (PBE) data for LiCuNi2 after structural relaxation, as listed in Alexandria via LeMat-Bulk.

abc: 2.8814 2.8814 5.4154
angles: 90.00 90.00 90.00
Last column: nearest neighbours and their distance in Å.
Element x y z (fractional)
Li1 0.0000 0.0000 0.0000  8 Ni 2.44, 2 Cu 2.71
Cu1 0.0000 0.0000 0.5000  8 Ni 2.46, 2 Li 2.71
Ni1 0.5000 0.5000 0.2468  4 Li 2.44, 4 Cu 2.46, 1 Ni 2.67
Ni2 0.5000 0.5000 0.7532  4 Li 2.44, 4 Cu 2.46, 1 Ni 2.67

energy of formation from the pure elements	113.1	meV per atom
theoretical density	6.9	g cm⁻³
space group	P4/mmm
calculated total energy	-4.280	eV/atom

---

First-principles (PBE) data for SrNbSnO6 after structural relaxation, as listed in Alexandria via LeMat-Bulk.

abc: 5.5060 5.5060 10.5618
angles: 90.00 90.00 120.00
Last column: nearest neighbours and their distance in Å.
Element x y z (fractional)
Sr1 0.0000 0.0000 0.0000  6 O 2.58
Sr2 0.0000 0.0000 0.5000  6 O 2.58
Nb1 0.3333 0.6667 0.2500  6 O 2.02
Nb2 0.6667 0.3333 0.7500  6 O 2.02
Sn1 0.3333 0.6667 0.7500  6 O 2.09
Sn2 0.6667 0.3333 0.2500  6 O 2.09
O1 0.0091 0.3817 0.1442  1 Nb 2.02, 1 Sn 2.09
O2 0.0091 0.6274 0.3558  1 Nb 2.02, 1 Sn 2.09
O3 0.3726 0.3817 0.3558  1 Nb 2.02, 1 Sn 2.09
O4 0.3726 0.9909 0.1442  1 Nb 2.02, 1 Sn 2.09
O5 0.3817 0.0091 0.6442  1 Nb 2.02, 1 Sn 2.09
O6 0.3817 0.3726 0.8558  1 Nb 2.02, 1 Sn 2.09
O7 0.6183 0.6274 0.1442  1 Nb 2.02, 1 Sn 2.09
O8 0.6183 0.9909 0.3558  1 Nb 2.02, 1 Sn 2.09
O9 0.6274 0.0091 0.8558  1 Nb 2.02, 1 Sn 2.09
O10 0.6274 0.6183 0.6442  1 Nb 2.02, 1 Sn 2.09
O11 0.9909 0.3726 0.6442  1 Nb 2.02, 1 Sn 2.09
O12 0.9909 0.6183 0.8558  1 Nb 2.02, 1 Sn 2.09

theoretical density	4.7	g cm⁻³
space group	P-31c
E_form (uncorrected)	-1832.2	kJ/mol of formula units
calculated total energy	-7.166	eV/atom

---

First-principles (PBE) data for TbNdNbN3 after structural relaxation, as listed in Alexandria via LeMat-Bulk.

abc: 7.4057 3.4745 7.9947
angles: 90.00 92.25 90.00
Last column: nearest neighbours and their distance in Å.
Element x y z (fractional)
Tb1 0.1131 0.2500 0.1507  3 N 2.21-2.40
Tb2 0.8869 0.7500 0.8493  3 N 2.21-2.40
Nd1 0.3470 0.7500 0.8353  5 N 2.49-2.76
Nd2 0.6530 0.2500 0.1647  5 N 2.49-2.76
Nb1 0.3784 0.7500 0.4188  4 N 2.04-2.18
Nb2 0.6216 0.2500 0.5812  4 N 2.04-2.18
N1 0.1107 0.2500 0.8746  3 Tb 2.21-2.40
N2 0.3286 0.2500 0.5479  3 Nb 2.06-2.18
N3 0.3637 0.7500 0.1640  1 Nb 2.04
N4 0.6363 0.2500 0.8360  1 Nb 2.04
N5 0.6714 0.7500 0.4521  3 Nb 2.06-2.18
N6 0.8893 0.7500 0.1254  3 Tb 2.21-2.40

theoretical density	7.1	g cm⁻³
space group	P2_1/m
E_form (uncorrected)	-618.6	kJ/mol of formula units
calculated total energy	-8.476	eV/atom

---

First-principles (PBE) data for RbAlGe after structural relaxation, as listed in Alexandria via LeMat-Bulk.

abc: 4.3466 6.0888 7.3512
angles: 97.35 102.50 105.92
Last column: nearest neighbours and their distance in Å.
Element x y z (fractional)
Rb1 0.2495 0.2144 0.3629  2 Ge 3.41-3.53, 4 Al 3.48-3.82, 1 Rb 3.61
Rb2 0.7505 0.7856 0.6371  2 Ge 3.41-3.53, 4 Al 3.48-3.82, 1 Rb 3.61
Al1 0.4639 0.7823 0.0437  3 Ge 2.59-2.61, 1 Al 2.76
Al2 0.5361 0.2177 0.9563  3 Ge 2.59-2.61, 1 Al 2.76
Ge1 0.0545 0.3866 0.8369  3 Al 2.59-2.61, 1 Ge 2.81
Ge2 0.9455 0.6134 0.1631  3 Al 2.59-2.61, 1 Ge 2.81

energy of formation from the pure elements	-67.5	meV per atom
theoretical density	3.4	g cm⁻³
space group	P-1
calculated total energy	-3.177	eV/atom

---

First-principles (PBE) data for InTeMoN2 after structural relaxation, as listed in Alexandria via LeMat-Bulk.

abc: 4.0514 4.0514 5.7688
angles: 90.00 90.00 90.00
Last column: nearest neighbours and their distance in Å.
Element x y z (fractional)
In1 0.0000 0.0000 0.0000  4 Te 2.86
Te1 0.5000 0.5000 0.0000  4 In 2.86, 2 Mo 2.88
Mo1 0.5000 0.5000 0.5000  4 N 2.03
N1 0.0000 0.5000 0.5000  2 Mo 2.03
N2 0.5000 0.0000 0.5000  2 Mo 2.03

theoretical density	6.4	g cm⁻³
space group	P4/mmm
E_form (uncorrected)	225.3	kJ/mol of formula units
calculated total energy	-6.205	eV/atom

---

First-principles (PBE) data for Ba2NaIr3O12 after structural relaxation, as listed in Alexandria via LeMat-Bulk.

abc: 7.0157 7.0157 7.0157
angles: 62.80 62.80 62.80
Last column: nearest neighbours and their distance in Å.
Element x y z (fractional)
Ba1 0.1081 0.1081 0.1081  6 O 2.69-2.91
Ba2 0.8919 0.8919 0.8919  6 O 2.69-2.91
Na1 0.5000 0.5000 0.5000  6 O 2.58
Ir1 0.0000 0.5000 0.5000  6 O 1.84-1.98
Ir2 0.5000 0.0000 0.5000  6 O 1.84-1.98
Ir3 0.5000 0.5000 0.0000  6 O 1.84-1.98
O1 0.0645 0.6302 0.6302  1 Ir 1.84
O2 0.2047 0.2047 0.6296  2 Ir 1.98
O3 0.2047 0.6296 0.2047  2 Ir 1.98
O4 0.3698 0.3698 0.9355  1 Ir 1.84
O5 0.3704 0.7953 0.7953  2 Ir 1.98
O6 0.3698 0.9355 0.3698  1 Ir 1.84
O7 0.6302 0.0645 0.6302  1 Ir 1.84
O8 0.6296 0.2047 0.2047  2 Ir 1.98
O9 0.6302 0.6302 0.0645  1 Ir 1.84
O10 0.7953 0.3704 0.7953  2 Ir 1.98
O11 0.7953 0.7953 0.3704  2 Ir 1.98
O12 0.9355 0.3698 0.3698  1 Ir 1.84

theoretical density	6.8	g cm⁻³
space group	R-3m
E_form (uncorrected)	-2114.0	kJ/mol of formula units
calculated total energy	-6.286	eV/atom

---

First-principles (PBE) data for K3Zr3CuSe8 after structural relaxation, as listed in Alexandria via LeMat-Bulk.

abc: 7.8482 7.8482 9.0133
angles: 115.75 115.75 60.08
Last column: nearest neighbours and their distance in Å.
Element x y z (fractional)
K1 0.0000 0.0000 0.0000  6 Se 3.24-3.32
K2 0.0000 0.5000 0.0000  6 Se 3.24-3.32
K3 0.5000 0.0000 0.0000  6 Se 3.24-3.32
Zr1 0.0000 0.5000 0.5000  6 Se 2.70-2.76
Zr2 0.5000 0.0000 0.5000  6 Se 2.70-2.76
Zr3 0.5000 0.5000 0.5000  6 Se 2.70-2.76
Cu1 0.0000 0.0000 0.5000  6 Se 2.71-2.73
Se1 0.2302 0.2302 0.6898  2 Zr 2.71, 1 Cu 2.71
Se2 0.2317 0.7272 0.6907  2 Zr 2.70, 1 Cu 2.73
Se3 0.2660 0.2660 0.2978  3 Zr 2.76
Se4 0.2728 0.7683 0.3093  2 Zr 2.70, 1 Cu 2.73
Se5 0.7272 0.2317 0.6907  2 Zr 2.70, 1 Cu 2.73
Se6 0.7340 0.7340 0.7022  3 Zr 2.76
Se7 0.7683 0.2728 0.3093  2 Zr 2.70, 1 Cu 2.73
Se8 0.7698 0.7698 0.3102  2 Zr 2.71, 1 Cu 2.71

theoretical density	4.3	g cm⁻³
space group	C2/m
E_form (uncorrected)	-1680.0	kJ/mol of formula units
calculated total energy	-5.221	eV/atom

---

First-principles (PBE) data for Zr2TiNbN after structural relaxation, as listed in Alexandria via LeMat-Bulk.

abc: 4.5356 4.5356 4.2484
angles: 90.00 90.00 90.00
Last column: nearest neighbours and their distance in Å.
Element x y z (fractional)
Zr1 0.0000 0.5000 0.0000  2 N 2.27
Zr2 0.5000 0.0000 0.0000  2 N 2.27
Ti1 0.0000 0.0000 0.5000  8 Zr 3.11, 4 Nb 3.21
Nb1 0.5000 0.5000 0.5000  2 N 2.12
N1 0.5000 0.5000 0.0000  2 Nb 2.12, 4 Zr 2.27

excess energy over the best structure of this formula in the dataset	0.095	eV per atom
theoretical density	6.4	g cm⁻³
space group	P4/mmm
E_form (uncorrected)	-287.6	kJ/mol of formula units
calculated total energy	-9.273	eV/atom

---

First-principles (PBE) data for Pm2Nd2Ho3 after structural relaxation, as listed in Alexandria via LeMat-Bulk.

abc: 6.4244 12.6271 6.9539
angles: 90.00 122.52 90.00
Last column: nearest neighbours and their distance in Å.
Element x y z (fractional)
Pm1 0.0859 0.1133 0.4361  3 Nd 3.30-3.66, 1 Pm 3.36, 6 Ho 3.48-3.65
Pm2 0.0859 0.3867 0.9361  3 Nd 3.30-3.66, 1 Pm 3.36, 6 Ho 3.48-3.65
Pm3 0.9141 0.6133 0.0639  3 Nd 3.30-3.66, 1 Pm 3.36, 6 Ho 3.48-3.65
Pm4 0.9141 0.8867 0.5639  3 Nd 3.30-3.66, 1 Pm 3.36, 6 Ho 3.48-3.65
Nd1 0.4976 0.2086 0.3357  3 Pm 3.30-3.66, 4 Ho 3.35-3.63, 2 Nd 3.63
Nd2 0.4976 0.2914 0.8357  3 Pm 3.30-3.66, 4 Ho 3.35-3.63, 2 Nd 3.63
Nd3 0.5024 0.7086 0.1643  3 Pm 3.30-3.66, 4 Ho 3.35-3.63, 2 Nd 3.63
Nd4 0.5024 0.7914 0.6643  3 Pm 3.30-3.66, 4 Ho 3.35-3.63, 2 Nd 3.63
Ho1 0.0815 0.6130 0.6482  3 Ho 3.34-3.65, 3 Nd 3.35-3.63, 4 Pm 3.48-3.60
Ho2 0.0815 0.8870 0.1482  3 Ho 3.34-3.65, 3 Nd 3.35-3.63, 4 Pm 3.48-3.60
Ho3 0.5000 0.0000 0.0000  4 Nd 3.53-3.85, 4 Ho 3.59-3.65, 4 Pm 3.62-3.65
Ho4 0.5000 0.5000 0.5000  4 Nd 3.53-3.85, 4 Ho 3.59-3.65, 4 Pm 3.62-3.65
Ho5 0.9185 0.1130 0.8518  3 Ho 3.34-3.65, 3 Nd 3.35-3.63, 4 Pm 3.48-3.60
Ho6 0.9185 0.3870 0.3518  3 Ho 3.34-3.65, 3 Nd 3.35-3.63, 4 Pm 3.48-3.60

energy of formation from the pure elements	155.4	meV per atom
excess energy over the best structure of this formula in the dataset	0.025	eV per atom
theoretical density	7.5	g cm⁻³
space group	P2_1/c
calculated total energy	-4.526	eV/atom

---

First-principles (PBE) data for BaNpHgO6 after structural relaxation, as listed in Alexandria via LeMat-Bulk.

abc: 5.6874 5.6911 5.7002
angles: 114.73 91.77 91.80
Last column: nearest neighbours and their distance in Å.
Element x y z (fractional)
Ba1 0.0000 0.0000 0.0000  6 O 2.71-2.77
Np1 0.4993 0.6506 0.3478  6 O 1.93-2.16
Hg1 0.4999 0.3131 0.6868  4 O 2.16-2.25
O1 0.2772 0.6598 0.0890  1 Np 1.93
O2 0.2857 0.3753 0.3829  1 Np 2.03, 1 Hg 2.24
O3 0.3175 0.9552 0.6400  1 Np 2.16, 1 Hg 2.17
O4 0.6817 0.3591 0.0425  1 Hg 2.16, 1 Np 2.16
O5 0.7153 0.6177 0.6213  1 Np 2.03, 1 Hg 2.25
O6 0.7180 0.9111 0.3353  1 Np 1.93

theoretical density	6.7	g cm⁻³
space group	P1
E_form (uncorrected)	-1663.8	kJ/mol of formula units
calculated total energy	-6.906	eV/atom

---

First-principles (PBE) data for SmSeCl after structural relaxation, as listed in Alexandria via LeMat-Bulk.

abc: 11.3957 11.3957 11.3957
angles: 159.66 159.66 28.92
Last column: nearest neighbours and their distance in Å.
Element x y z (fractional)
Sm1 0.1596 0.1596 0.0000  2 Cl 2.78, 5 Se 2.99-3.06
Sm2 0.8404 0.8404 0.0000  2 Cl 2.78, 5 Se 2.99-3.06
Se1 0.2982 0.2982 0.0000  5 Sm 2.99-3.06
Se2 0.7018 0.7018 0.0000  5 Sm 2.99-3.06
Cl1 0.5730 0.0730 0.5000  2 Sm 2.78
Cl2 0.9270 0.4270 0.5000  2 Sm 2.78

theoretical density	4.9	g cm⁻³
space group	I-4m2
E_form (uncorrected)	-576.7	kJ/mol of formula units
calculated total energy	-5.342	eV/atom